MnPd2I: optimized geometry, PBE.

Unit cell a=4.7273 b=4.7273 c=4.7273 alpha=60.00 beta=60.00 gamma=60.00
Last column: nearest neighbours and their distance in Å.
Fractional coordinates of all 4 atoms:
I 0.5000 0.5000 0.5000  8 Pd 2.89
Pd 0.7500 0.7500 0.7500  4 Mn 2.89, 4 I 2.89
Pd 0.2500 0.2500 0.2500  4 Mn 2.89, 4 I 2.89
Mn 0.0000 0.0000 0.0000  8 Pd 2.89

Properties
Mass density (kg/m3): 8773
Density of states at the Fermi level (states/eV per cell): 2.3
Offset from the most stable computed form (eV per formula unit): 0.00
Size of the total moment (μB/f.u.): 4.88
V (Å³ per cell): 74.7
E_form (uncorrected) (eV/atom): 0.22